(1)
This record from Alexandria via LeMat-Bulk describes a relaxed structure of SrMgI. The functional is PBE-GGA.

POSCAR file:
```
SrMgI
1.0
-3.5202 2.1290 -1.3556
1.0268 -3.8315 -1.7638
-9.0653 -7.6996 11.4480
Mg Sr I
2 2 2
direct
0.2834 0.5669 0.5000 Mg
0.5836 0.1672 0.0000 Mg
0.6162 0.2324 0.3344 Sr
0.6162 0.2324 0.6656 Sr
0.2836 0.5671 0.7948 I
0.2836 0.5671 0.2052 I
```

Properties
The symmetry is Amm2, No. 38. The total energy comes out at -2.1033 eV per atom. For the uncorrected formation energy, the calculation gives -494.4 meV/atom.

(2)
This record from Alexandria via LeMat-Bulk describes a relaxed structure of Tc3PdAu. The functional is PBE-GGA.

POSCAR file:
```
Tc3PdAu
1.0
-2.2906 -0.6789 -4.0258
4.0668 -0.7863 -2.1813
-0.3599 -4.5646 0.9745
Tc Au Pd
3 1 1
direct
0.5000 0.0000 0.0000 Tc
0.0000 0.5000 0.0000 Tc
0.0000 0.0000 0.5000 Tc
0.5000 0.5000 0.5000 Au
0.0000 0.0000 0.0000 Pd
```

Properties
The symmetry is Pm-3m, No. 221. The total energy comes out at -5.8023 eV per atom. Its formation energy is 2.111 eV per atom.

(3)
This record from Alexandria via LeMat-Bulk describes a relaxed structure of Sr3HfPt. The functional is PBE-GGA.

POSCAR file:
```
Sr3HfPt
1.0
-1.6436 -5.0075 -2.7950
2.6514 -3.2416 4.2486
-5.0850 -0.0717 3.1187
Sr Hf Pt
3 1 1
direct
0.5000 0.0000 0.0000 Sr
0.0000 0.0000 0.5000 Sr
0.0000 0.5000 0.0000 Sr
0.0000 0.0000 0.0000 Hf
0.5000 0.5000 0.5000 Pt
```

Properties
The symmetry is Pm-3m, No. 221. The total energy comes out at -2.9846 eV per atom. Its formation energy is 1.223 eV per atom.

(4)
This record from Alexandria via LeMat-Bulk describes a relaxed structure of CaFe2Pt. The functional is PBE-GGA.

POSCAR file:
```
CaFe2Pt
1.0
4.6567 0.0000 0.0000
0.0000 2.9330 -0.0114
0.0000 0.7266 5.1736
Pt Fe Ca
1 2 1
direct
0.5000 0.2500 0.2500 Pt
0.0000 0.0496 0.0690 Fe
0.0000 0.4504 0.4310 Fe
0.5000 0.7500 0.7500 Ca
```

Properties
The symmetry is P2/m, No. 10. The total energy comes out at -6.1036 eV per atom. Its formation energy is 0.138 eV per atom.

(5)
This record from Alexandria via LeMat-Bulk describes a relaxed structure of ScFe2W. The functional is PBE-GGA.

POSCAR file:
```
ScFe2W
1.0
-3.2134 -1.1967 2.8024
0.2919 -2.6244 -0.7859
3.3127 -1.4363 3.1851
Fe Sc W
2 1 1
direct
0.5000 0.1684 0.2783 Fe
0.0000 0.0586 0.9712 Fe
0.0000 0.5080 0.4581 Sc
0.5000 0.7650 0.7923 W
```

Properties
The symmetry is Pm, No. 6. The total energy comes out at -8.8872 eV per atom. Its formation energy is 0.165 eV per atom.

(6)
This record from Alexandria via LeMat-Bulk describes a relaxed structure of LiSc3Tl2. The functional is PBE-GGA.

POSCAR file:
```
LiSc3Tl2
1.0
5.0077 0.0000 0.0000
-2.5038 4.3368 0.0000
0.0000 0.0000 12.3685
Sc Li Tl
6 2 4
direct
0.3333 0.6667 0.9175 Sc
0.6667 0.3333 0.0825 Sc
0.0000 0.0000 0.2507 Sc
0.3333 0.6667 0.4223 Sc
0.0000 0.0000 0.7493 Sc
0.6667 0.3333 0.5777 Sc
0.3333 0.6667 0.6713 Li
0.6667 0.3333 0.3287 Li
0.0000 0.0000 0.5000 Tl
0.0000 0.0000 0.0000 Tl
0.3333 0.6667 0.1852 Tl
0.6667 0.3333 0.8148 Tl
```

Properties
The symmetry is P-3m1, No. 164. The total energy comes out at -4.4884 eV per atom. Its formation energy is -0.215 eV per atom.

(7)
This record from Alexandria via LeMat-Bulk describes a relaxed structure of Mg2CuSe2. The functional is PBE-GGA.

POSCAR file:
```
Mg2CuSe2
1.0
2.7154 3.3920 -0.0033
-2.7154 3.3920 -0.0033
0.0000 0.4527 5.8301
Mg Se Cu
2 2 1
direct
0.8132 0.8132 0.2675 Mg
0.1868 0.1868 0.7325 Mg
0.2127 0.2127 0.2574 Se
0.7873 0.7873 0.7426 Se
0.5000 0.5000 0.0000 Cu
```

Properties
The symmetry is C2/m, No. 12. The total energy comes out at -3.4033 eV per atom. For the uncorrected formation energy, the calculation gives -552.4 meV/atom.

(8)
This record from Alexandria via LeMat-Bulk describes a relaxed structure of Ba2SbRh. The functional is PBE-GGA.

POSCAR file:
```
Ba2SbRh
1.0
3.7939 0.0000 0.0000
0.0000 5.6834 0.0000
0.0000 0.0000 6.7624
Ba Sb Rh
2 1 1
direct
0.5000 0.5000 0.0000 Ba
0.0000 0.0000 0.5000 Ba
0.5000 0.5000 0.5000 Sb
0.0000 0.0000 0.0000 Rh
```

Properties
The symmetry is Pmmm, No. 47. The total energy comes out at -3.9289 eV per atom. For the uncorrected formation energy, the calculation gives -99.0 meV/atom.

(9)
This record from Alexandria via LeMat-Bulk describes a relaxed structure of AcErAlIn. The functional is PBE-GGA.

POSCAR file:
```
AcErAlIn
1.0
5.4537 0.0000 0.0000
2.7268 4.7230 0.0000
2.7268 1.5743 4.4529
Al Ac In Er
1 1 1 1
direct
0.7500 0.7500 0.7500 Al
0.5000 0.5000 0.5000 Ac
0.2500 0.2500 0.2500 In
0.0000 0.0000 0.0000 Er
```

Properties
The symmetry is F-43m, No. 216. The total energy comes out at -4.0989 eV per atom. Its formation energy is -0.311 eV per atom.

(10)
This record from Alexandria via LeMat-Bulk describes a relaxed structure of KPt2Br. The functional is PBE-GGA.

POSCAR file:
```
KPt2Br
1.0
3.5302 0.0000 0.0000
0.0000 3.5160 0.0124
0.0000 1.7296 7.6906
Br Pt K
1 2 1
direct
0.0000 0.3226 0.4826 Br
0.5000 0.4667 0.1886 Pt
0.0000 0.0212 0.0800 Pt
0.5000 0.6895 0.7489 K
```

Properties
The symmetry is Pm, No. 6. The total energy comes out at -3.8825 eV per atom. For the uncorrected formation energy, the calculation gives -169.5 meV/atom.

(11)
This record from Alexandria via LeMat-Bulk describes a relaxed structure of CsAg2BiBr6. The functional is PBE-GGA.

POSCAR file:
```
CsAg2BiBr6
1.0
7.6291 0.0020 -0.0025
3.8163 6.6045 0.0001
3.8122 2.2039 6.9009
Br Ag Bi Cs
6 2 1 1
direct
0.3004 0.7421 0.7474 Br
0.9121 0.5985 0.2244 Br
0.5991 0.2651 0.2241 Br
0.7416 0.2105 0.7468 Br
0.2102 0.3009 0.7469 Br
0.2652 0.9116 0.2246 Br
0.5245 0.5239 0.4275 Ag
0.9932 0.9932 0.0207 Ag
0.3290 0.3291 0.0128 Bi
0.7863 0.7867 0.6401 Cs
```

Properties
The symmetry is P1, No. 1. The total energy comes out at -2.8274 eV per atom. For the uncorrected formation energy, the calculation gives -780.0 meV/atom.

Q: Which value of total energy does entry 7 give?
A: -3.4033 eV per atom

Q: Which of these has the lowest total energy?
A: ScFe2W

Q: Among the records above, which one has the lowest total energy?
A: ScFe2W